This record from the Alexandria database describes a relaxed structure of Sb2C. The functional is PBEsol.

a = 3.263 Å, b = 3.263 Å, c = 12.947 Å
α = 90.00°, β = 90.00°, γ = 120.00°
Fractional coordinates of all 6 atoms:
Sb (0.333, 0.667, 0.115)
Sb (0.333, 0.667, 0.385)
Sb (0.667, 0.333, 0.615)
Sb (0.667, 0.333, 0.885)
C (0.000, 0.000, 0.000)
C (0.000, 0.000, 0.500)

Summary:
The energy above the most stable polymorph in this dataset comes out at 0.00 eV per formula unit. The calculated total energy is -5.233 eV per atom. As for the theoretical density: 7.108 Mg/m³. The value obtained for the total magnetization is 0.00 μB/f.u. As for the space group: P6_3/mmc (194).



This record from the Alexandria database describes a relaxed structure of SbC2. The functional is PBEsol.

a = 3.820 Å, b = 3.820 Å, c = 3.820 Å
α = 60.00°, β = 60.00°, γ = 60.00°
Fractional coordinates of all 3 atoms:
Sb (0.000, 0.000, 0.000)
C (0.250, 0.250, 0.250)
C (0.750, 0.750, 0.750)

Summary:
The energy above the most stable polymorph in this dataset comes out at 4.85 eV per formula unit. The calculated total energy is -5.382 eV per atom. As for the theoretical density: 6.143 Mg/m³. The value obtained for the total magnetization is 0.00 μB/f.u. As for the space group: Fm-3m (225).



This record from the Alexandria database describes a relaxed structure of SbC2. The functional is PBEsol.

a = 7.300 Å, b = 7.300 Å, c = 7.300 Å
α = 156.12°, β = 128.59°, γ = 57.44°
Fractional coordinates of all 6 atoms:
Sb (0.254, 0.004, 0.250)
Sb (0.746, 0.996, 0.750)
C (0.366, 0.616, 0.750)
C (0.471, 0.721, 0.750)
C (0.529, 0.279, 0.250)
C (0.634, 0.384, 0.250)

Summary:
The energy above the most stable polymorph in this dataset comes out at 0.34 eV per formula unit. The calculated total energy is -6.887 eV per atom. As for the theoretical density: 3.953 Mg/m³. The value obtained for the total magnetization is 0.00 μB/f.u. As for the space group: Imma (74).



This record from the Alexandria database describes a relaxed structure of Sb2C3. The functional is PBEsol.

a = 6.099 Å, b = 5.321 Å, c = 6.114 Å
α = 64.02°, β = 51.65°, γ = 64.32°
Fractional coordinates of all 10 atoms:
Sb (0.254, 0.746, 0.276)
Sb (0.526, 0.974, 0.504)
Sb (0.746, 0.254, 0.724)
Sb (0.974, 0.526, 0.996)
C (0.126, 0.894, 0.953)
C (0.223, 0.297, 0.356)
C (0.297, 0.223, 0.124)
C (0.584, 0.584, 0.416)
C (0.834, 0.834, 0.666)
C (0.894, 0.126, 0.027)

Summary:
The calculated total energy is -6.377 eV per atom. As for the theoretical density: 6.819 Mg/m³. The value obtained for the total magnetization is 0.00 μB/f.u. As for the space group: Fdd2 (43).



This record from the Alexandria database describes a relaxed structure of SbC. The functional is PBEsol.

a = 5.962 Å, b = 5.962 Å, c = 5.962 Å
α = 148.05°, β = 66.74°, γ = 123.11°
Fractional coordinates of all 6 atoms:
Sb (0.000, 0.000, 0.000)
Sb (0.382, 0.051, 0.332)
Sb (0.719, 0.051, 0.668)
C (0.122, 0.432, 0.690)
C (0.606, 0.606, 0.000)
C (0.742, 0.432, 0.310)

Summary:
The energy above the most stable polymorph in this dataset comes out at 0.00 eV per formula unit. The calculated total energy is -5.726 eV per atom. As for the theoretical density: 7.183 Mg/m³. The value obtained for the total magnetization is 0.00 μB/f.u. As for the space group: Imm2 (44).



This record from the Alexandria database describes a relaxed structure of Sb2C. The functional is PBEsol.

a = 6.393 Å, b = 6.393 Å, c = 6.393 Å
α = 30.11°, β = 30.11°, γ = 30.11°
Fractional coordinates of all 3 atoms:
Sb (0.000, 0.000, 0.000)
Sb (0.173, 0.173, 0.173)
C (0.730, 0.730, 0.730)

Summary:
The energy above the most stable polymorph in this dataset comes out at 0.20 eV per formula unit. The calculated total energy is -5.165 eV per atom. As for the theoretical density: 7.287 Mg/m³. The value obtained for the total magnetization is 0.00 μB/f.u. As for the space group: R3m (160).



This record from the Alexandria database describes a relaxed structure of Sb2C. The functional is PBEsol.

a = 12.611 Å, b = 12.611 Å, c = 12.611 Å
α = 165.61°, β = 165.58°, γ = 20.42°
Fractional coordinates of all 6 atoms:
Sb (0.306, 0.056, 0.250)
Sb (0.429, 0.179, 0.250)
Sb (0.571, 0.821, 0.750)
Sb (0.694, 0.944, 0.750)
C (0.064, 0.314, 0.750)
C (0.936, 0.686, 0.250)

Summary:
The energy above the most stable polymorph in this dataset comes out at 0.60 eV per formula unit. The calculated total energy is -5.032 eV per atom. As for the theoretical density: 6.841 Mg/m³. The value obtained for the total magnetization is 0.00 μB/f.u. As for the space group: Imma (74).



This record from the Alexandria database describes a relaxed structure of SbC2. The functional is PBEsol.

a = 7.932 Å, b = 7.932 Å, c = 2.620 Å
α = 90.00°, β = 90.00°, γ = 120.00°
Fractional coordinates of all 9 atoms:
Sb (0.000, 0.000, 0.000)
Sb (0.333, 0.667, 0.500)
Sb (0.667, 0.333, 0.500)
C (0.000, 0.648, 0.500)
C (0.000, 0.720, 0.000)
C (0.280, 0.280, 0.000)
C (0.352, 0.352, 0.500)
C (0.648, 0.000, 0.500)
C (0.720, 0.000, 0.000)

Summary:
The energy above the most stable polymorph in this dataset comes out at 0.40 eV per formula unit. The calculated total energy is -6.865 eV per atom. As for the theoretical density: 5.088 Mg/m³. The value obtained for the total magnetization is 0.00 μB/f.u. As for the space group: P-62m (189).



This record from the Alexandria database describes a relaxed structure of Sb2C. The functional is PBEsol.

a = 4.249 Å, b = 4.249 Å, c = 3.254 Å
α = 90.00°, β = 90.00°, γ = 90.00°
Fractional coordinates of all 3 atoms:
Sb (0.000, 0.500, 0.000)
Sb (0.500, 0.000, 0.000)
C (0.000, 0.000, 0.500)

Summary:
The energy above the most stable polymorph in this dataset comes out at 1.28 eV per formula unit. The calculated total energy is -4.808 eV per atom. As for the theoretical density: 7.223 Mg/m³. The value obtained for the total magnetization is 0.00 μB/f.u. As for the space group: P4/mmm (123).



This record from the Alexandria database describes a relaxed structure of SbC3. The functional is PBEsol.

a = 3.761 Å, b = 3.761 Å, c = 3.021 Å
α = 90.00°, β = 90.00°, γ = 90.00°
Fractional coordinates of all 4 atoms:
Sb (0.000, 0.000, 0.000)
C (0.000, 0.500, 0.500)
C (0.500, 0.000, 0.500)
C (0.500, 0.500, 0.000)

Summary:
The energy above the most stable polymorph in this dataset comes out at 7.50 eV per formula unit. The calculated total energy is -5.043 eV per atom. As for the theoretical density: 6.131 Mg/m³. The value obtained for the total magnetization is 0.00 μB/f.u. As for the space group: P4/mmm (123).



This record from the Alexandria database describes a relaxed structure of Sb2C. The functional is PBEsol.

a = 4.918 Å, b = 4.918 Å, c = 2.963 Å
α = 90.00°, β = 90.00°, γ = 120.00°
Fractional coordinates of all 3 atoms:
Sb (0.333, 0.667, 0.000)
Sb (0.667, 0.333, 0.000)
C (0.000, 0.000, 0.500)

Summary:
The energy above the most stable polymorph in this dataset comes out at 3.06 eV per formula unit. The calculated total energy is -4.213 eV per atom. As for the theoretical density: 6.837 Mg/m³. The value obtained for the total magnetization is 0.10 μB/f.u. As for the space group: P6/mmm (191).



This record from the Alexandria database describes a relaxed structure of SbC2. The functional is PBEsol.

a = 2.693 Å, b = 2.693 Å, c = 15.480 Å
α = 90.00°, β = 90.00°, γ = 120.00°
Fractional coordinates of all 6 atoms:
Sb (0.333, 0.667, 0.250)
Sb (0.667, 0.333, 0.750)
C (0.333, 0.667, 0.000)
C (0.333, 0.667, 0.500)
C (0.667, 0.333, 0.000)
C (0.667, 0.333, 0.500)

Summary:
The energy above the most stable polymorph in this dataset comes out at 0.00 eV per formula unit. The calculated total energy is -7.000 eV per atom. As for the theoretical density: 4.978 Mg/m³. The value obtained for the total magnetization is 0.00 μB/f.u. As for the space group: P6_3/mmc (194).